Here is TlTePO after structural relaxation from Alexandria. Energies are from PBE.

Properties
Space group = Cm
V = 119.97 Å³ per cell
Magnetization = 0.0 μB/f.u.
Raw formation energy = -0.62 eV/atom

Lattice parameters (Å, degrees): 6.888 6.888 5.146 109.41 109.41 31.57
Sites, in units of the cell vectors:
Tl 0.000 0.000 0.000
Te 0.739 0.739 0.429
P 0.363 0.363 0.345
O 0.467 0.467 0.608